Density functional theory data (GGA-PBE) for Ac3Sm3ErSe8 after structural relaxation.

The structure in CIF format:
```
data_Ac3Sm3ErSe8
_space_group_name_H-M_alt 'P 1'
_space_group_IT_number 1
_cell_length_a 8.6813
_cell_length_b 8.6813
_cell_length_c 8.6813
_cell_angle_alpha 58.51
_cell_angle_beta 58.51
_cell_angle_gamma 58.51
loop_
_space_group_symop_operation_xyz
'x,y,z'
loop_
_atom_site_label
_atom_site_type_symbol
_atom_site_fract_x
_atom_site_fract_y
_atom_site_fract_z
Ac1 Ac 0.0000 0.5000 0.5000
Ac2 Ac 0.5000 0.0000 0.5000
Ac3 Ac 0.5000 0.5000 0.0000
Sm1 Sm 0.0000 0.0000 0.5000
Sm2 Sm 0.0000 0.5000 0.0000
Sm3 Sm 0.5000 0.0000 0.0000
Er1 Er 0.5000 0.5000 0.5000
Se1 Se 0.2435 0.2435 0.2435
Se2 Se 0.2474 0.7402 0.7402
Se3 Se 0.2598 0.2598 0.7526
Se4 Se 0.2598 0.7526 0.2598
Se5 Se 0.7402 0.2474 0.7402
Se6 Se 0.7402 0.7402 0.2474
Se7 Se 0.7526 0.2598 0.2598
Se8 Se 0.7565 0.7565 0.7565
```

Output
- size of the total moment (μB per formula unit) = 0.0
- space group = No. 166
- formation energy without anion corrections (eV/atom) = -1.872
- V (Å³ per cell) = 446.90

***

Density functional theory data (GGA-PBE) for PrHoTmTh after structural relaxation.

The structure in CIF format:
```
data_PrHoTmTh
_space_group_name_H-M_alt 'P 1'
_space_group_IT_number 1
_cell_length_a 5.6878
_cell_length_b 5.6878
_cell_length_c 5.6878
_cell_angle_alpha 60.00
_cell_angle_beta 60.00
_cell_angle_gamma 60.00
loop_
_space_group_symop_operation_xyz
'x,y,z'
loop_
_atom_site_label
_atom_site_type_symbol
_atom_site_fract_x
_atom_site_fract_y
_atom_site_fract_z
Pr1 Pr 0.0000 0.0000 0.0000
Ho1 Ho 0.7500 0.7500 0.7500
Tm1 Tm 0.2500 0.2500 0.2500
Th1 Th 0.5000 0.5000 0.5000
```

Output
- size of the total moment (μB per formula unit) = 0.0
- energy above the lowest structure with this stoichiometry (kcal/mol of atoms) = 2.493
- space group = No. 216
- V (Å³ per cell) = 130.11

***

Density functional theory data (GGA-PBE) for RbGaCoAg2 after structural relaxation.

The structure in CIF format:
```
data_RbGaCoAg2
_space_group_name_H-M_alt 'P 1'
_space_group_IT_number 1
_cell_length_a 5.0212
_cell_length_b 5.0212
_cell_length_c 6.1301
_cell_angle_alpha 90.00
_cell_angle_beta 90.00
_cell_angle_gamma 90.00
loop_
_space_group_symop_operation_xyz
'x,y,z'
loop_
_atom_site_label
_atom_site_type_symbol
_atom_site_fract_x
_atom_site_fract_y
_atom_site_fract_z
Rb1 Rb 0.0000 0.0000 0.0000
Ga1 Ga 0.0000 0.0000 0.5000
Co1 Co 0.5000 0.5000 0.0000
Ag1 Ag 0.0000 0.5000 0.5000
Ag2 Ag 0.5000 0.0000 0.5000
```

Output
- total DFT energy (no corrections) (eV/atom) = -2.34
- size of the total moment (μB per formula unit) = 2.3
- space group = No. 123
- V (Å³ per cell) = 154.55